Record 1
# Fe2Hg | Alexandria via LeMat-Bulk | PBE-GGA | optimized geometry
# Energy of formation from the pure elements = 304 meV per atom
# Magnetization = 5.148 μB/f.u.
data_Fe2Hg
_chemical_formula_sum 'Fe8 Hg4'
_cell_length_a 9.5843
_cell_length_b 3.0867
_cell_length_c 6.5080
_cell_angle_alpha 90.00
_cell_angle_beta 109.75
_cell_angle_gamma 90.00
_space_group_name_H-M_alt 'C 1 2/m 1'
_space_group_IT_number 12
loop_
_space_group_symop_operation_xyz
'x,y,z'
'-x,-y,-z'
'-x,y,-z'
'x,-y,z'
'x+1/2,y+1/2,z'
'-x+1/2,-y+1/2,-z'
'-x+1/2,y+1/2,-z'
'x+1/2,-y+1/2,z'
loop_
_atom_site_label
_atom_site_type_symbol
_atom_site_fract_x
_atom_site_fract_y
_atom_site_fract_z
Fe1 Fe 0.0082 0.0000 0.2047
Fe2 Fe 0.1559 0.5000 0.0548
Hg1 Hg 0.1618 0.5000 0.6085

---

Record 2
# Fe3Hg | Alexandria via LeMat-Bulk | PBE-GGA | optimized geometry
# Energy of formation from the pure elements = 407 meV per atom
# Magnetization = 7.724 μB/f.u.
data_Fe3Hg
_chemical_formula_sum 'Fe9 Hg3'
_cell_length_a 2.8234
_cell_length_b 2.8234
_cell_length_c 25.3770
_cell_angle_alpha 90.00
_cell_angle_beta 90.00
_cell_angle_gamma 120.00
_space_group_name_H-M_alt 'R -3 m'
_space_group_IT_number 166
_space_group_name_Hall '-R 3 2"'
loop_
_atom_site_label
_atom_site_type_symbol
_atom_site_fract_x
_atom_site_fract_y
_atom_site_fract_z
Fe1 Fe 0.0000 0.0000 0.0000
Fe2 Fe 0.0000 0.0000 0.2601
Hg1 Hg 0.0000 0.0000 0.5000

---

Question: Which value of energy of formation from the pure elements does entry 1 give?
Answer: 304 meV per atom